## a
! LaIrCl (PBE, optimized geometry); values from VASP
! Total magnetic moment   0.00 μB per formula unit
! Space group   P3m1 (156)
&SYSTEM
  ibrav = 0, nat = 3, ntyp = 3
/
ATOMIC_SPECIES
Cl 35.45 Cl.upf
La 138.91 La.upf
Ir 192.22 Ir.upf
ATOMIC_POSITIONS angstrom
Cl 0.0000 0.0000 6.5781
La 1.8997 1.0968 4.6462
Ir 0.0000 2.1936 2.8112
CELL_PARAMETERS angstrom
3.7994 0.0000 0.0000
-1.8997 3.2904 0.0000
0.0000 0.0000 7.0178

## b
! LaIrCl (PBE, optimized geometry); values from VASP
! Total magnetic moment   0.00 μB per formula unit
! Space group   P-6m2 (187)
&SYSTEM
  ibrav = 0, nat = 3, ntyp = 3
/
ATOMIC_SPECIES
Ir 192.22 Ir.upf
La 138.91 La.upf
Cl 35.45 Cl.upf
ATOMIC_POSITIONS angstrom
Ir -1.7734 -1.4945 -1.3630
La -2.0905 -2.3113 1.6873
Cl 0.0981 -0.5480 0.2124
CELL_PARAMETERS angstrom
-3.0940 0.7065 3.2509
-1.2604 -1.7720 -3.9890
0.5886 -3.2883 1.2748

## c
! LaIrCl (PBE, optimized geometry); values from VASP
! Total magnetic moment   0.99 μB per formula unit
! Space group   I4mm (107)
&SYSTEM
  ibrav = 0, nat = 3, ntyp = 3
/
ATOMIC_SPECIES
Cl 35.45 Cl.upf
Ir 192.22 Ir.upf
La 138.91 La.upf
ATOMIC_POSITIONS angstrom
Cl 8.6314 4.3633 0.0000
Ir 6.3062 3.1879 0.0000
La 2.7540 1.3922 0.0000
CELL_PARAMETERS angstrom
5.6658 -0.2229 -0.1468
3.1800 4.6945 0.1468
-4.3565 -2.3671 2.7550

Which is most stable, and by how much? b, by 0.5 kJ/mol of atoms.

## a
! LaIr3Cl (PBE, optimized geometry); values from VASP
! Total magnetic moment   2.90 μB per formula unit
! Space group   Pm-3m (221)
&SYSTEM
  ibrav = 0, nat = 5, ntyp = 3
/
ATOMIC_SPECIES
Ir 192.22 Ir.upf
Cl 35.45 Cl.upf
La 138.91 La.upf
ATOMIC_POSITIONS angstrom
Ir 2.5582 0.0000 0.0000
Ir 0.0000 0.0000 2.5582
Cl 2.5582 2.5582 2.5582
La 0.0000 0.0000 0.0000
Ir 0.0000 2.5582 0.0000
CELL_PARAMETERS angstrom
5.1164 0.0000 0.0000
0.0000 5.1164 0.0000
0.0000 0.0000 5.1164

## b
! LaIr3Cl (PBE, optimized geometry); values from VASP
! Total magnetic moment   0.00 μB per formula unit
! Space group   Pm-3m (221)
&SYSTEM
  ibrav = 0, nat = 5, ntyp = 3
/
ATOMIC_SPECIES
Ir 192.22 Ir.upf
Cl 35.45 Cl.upf
La 138.91 La.upf
ATOMIC_POSITIONS angstrom
Ir 2.2933 0.0000 0.0000
Ir 0.0000 0.0000 2.2933
Cl 0.0000 0.0000 0.0000
La 2.2933 2.2933 2.2933
Ir 0.0000 2.2933 0.0000
CELL_PARAMETERS angstrom
4.5867 0.0000 0.0000
0.0000 4.5867 0.0000
0.0000 0.0000 4.5867

Which is most stable, and by how much? b, by 142.6 kJ/mol of atoms.

## a
! LaIrS2Cl (PBE, optimized geometry); values from VASP
! Total magnetic moment   2.90 μB per formula unit
! Space group   P4/mmm (123)
&SYSTEM
  ibrav = 0, nat = 5, ntyp = 4
/
ATOMIC_SPECIES
Cl 35.45 Cl.upf
La 138.91 La.upf
S 32.06 S.upf
Ir 192.22 Ir.upf
ATOMIC_POSITIONS angstrom
Cl 0.0000 0.0000 2.6659
La 0.0000 0.0000 0.0000
S 0.0000 2.7878 0.0000
Ir 2.7878 2.7878 2.6659
S 2.7878 0.0000 0.0000
CELL_PARAMETERS angstrom
5.5757 0.0000 0.0000
0.0000 5.5757 0.0000
0.0000 0.0000 5.3318

## b
! LaIrS2Cl (PBE, optimized geometry); values from VASP
! Total magnetic moment   0.00 μB per formula unit
! Space group   P4/mmm (123)
&SYSTEM
  ibrav = 0, nat = 5, ntyp = 4
/
ATOMIC_SPECIES
S 32.06 S.upf
Ir 192.22 Ir.upf
Cl 35.45 Cl.upf
La 138.91 La.upf
ATOMIC_POSITIONS angstrom
S 0.0000 2.3893 0.0000
Ir 0.0000 0.0000 0.0000
Cl 0.0000 0.0000 2.3212
La 2.3893 2.3893 2.3212
S 2.3893 0.0000 0.0000
CELL_PARAMETERS angstrom
4.7786 0.0000 0.0000
0.0000 4.7786 0.0000
0.0000 0.0000 4.6424

Which is most stable, and by how much? b, by 116.6 kJ/mol of atoms.

## a
! LiIr2Cl (PBE, optimized geometry); values from VASP
! Total magnetic moment   0.00 μB per formula unit
! Space group   C2/m (12)
&SYSTEM
  ibrav = 0, nat = 4, ntyp = 3
/
ATOMIC_SPECIES
Ir 192.22 Ir.upf
Cl 35.45 Cl.upf
Li 6.94 Li.upf
ATOMIC_POSITIONS angstrom
Ir -0.0602 -2.9704 2.3711
Ir 1.1725 -5.5004 -2.4878
Cl 0.6374 -2.9063 -1.4104
Li 1.9123 -8.7190 -4.2313
CELL_PARAMETERS angstrom
-0.0297 -4.6621 -4.4316
2.7420 -4.3052 -3.9142
-0.1626 -2.6581 2.7042

## b
! LiIr2Cl (PBE, optimized geometry); values from VASP
! Total magnetic moment   0.00 μB per formula unit
! Space group   P2/m (10)
&SYSTEM
  ibrav = 0, nat = 4, ntyp = 3
/
ATOMIC_SPECIES
Ir 192.22 Ir.upf
Li 6.94 Li.upf
Cl 35.45 Cl.upf
ATOMIC_POSITIONS angstrom
Ir 1.1417 -0.7488 2.4747
Li -2.1390 -1.7883 1.2506
Ir -0.8725 0.8004 2.2654
Cl -3.0203 -0.9814 3.5110
CELL_PARAMETERS angstrom
-3.3968 -4.3837 0.2406
1.1505 -0.7554 2.4796
-2.9130 2.3693 2.0413

Which is most stable, and by how much? a, by 28.9 kJ/mol of atoms.

## a
! LiIr2Cl (PBE, optimized geometry); values from VASP
! Total magnetic moment   0.00 μB per formula unit
! Space group   P4/mmm (123)
&SYSTEM
  ibrav = 0, nat = 4, ntyp = 3
/
ATOMIC_SPECIES
Ir 192.22 Ir.upf
Li 6.94 Li.upf
Cl 35.45 Cl.upf
ATOMIC_POSITIONS angstrom
Ir 1.6897 -1.7702 0.1783
Li 0.2735 -1.8234 -3.8126
Cl -1.2851 -3.1778 -2.4871
Ir 0.0000 0.0000 0.0000
CELL_PARAMETERS angstrom
-2.7014 -3.2311 -6.4780
3.2484 -0.4158 -1.1472
0.1311 -3.1245 1.5037

## b
! LiIr2Cl (PBE, optimized geometry); values from VASP
! Total magnetic moment   0.00 μB per formula unit
! Space group   Imm2 (44)
&SYSTEM
  ibrav = 0, nat = 4, ntyp = 3
/
ATOMIC_SPECIES
Li 6.94 Li.upf
Ir 192.22 Ir.upf
Cl 35.45 Cl.upf
ATOMIC_POSITIONS angstrom
Li 3.8047 2.2497 0.0000
Ir 3.2297 -0.3889 1.2142
Cl 1.4444 1.7218 1.2171
Ir 0.0995 0.0589 0.0000
CELL_PARAMETERS angstrom
5.3629 0.0048 -0.0029
2.5885 4.6969 0.0029
-3.3488 -3.4111 2.4313

## c
! LiIr2Cl (PBE, optimized geometry); values from VASP
! Total magnetic moment   0.00 μB per formula unit
! Space group   Cmmm (65)
&SYSTEM
  ibrav = 0, nat = 4, ntyp = 3
/
ATOMIC_SPECIES
Ir 192.22 Ir.upf
Li 6.94 Li.upf
Cl 35.45 Cl.upf
ATOMIC_POSITIONS angstrom
Ir 1.4267 -1.1481 1.4855
Ir 0.0000 0.0000 0.0000
Li -1.4081 -3.3216 0.6566
Cl 0.9228 2.2627 2.7341
CELL_PARAMETERS angstrom
-0.9042 -6.7324 -0.5920
3.7576 4.4361 3.5630
-1.9120 0.0892 1.9053

Which is most stable, and by how much? a, by 29.8 kJ/mol of atoms.

## a
! LiIr2Cl (PBE, optimized geometry); values from VASP
! Total magnetic moment   0.00 μB per formula unit
! Space group   Pmm2 (25)
&SYSTEM
  ibrav = 0, nat = 4, ntyp = 3
/
ATOMIC_SPECIES
Li 6.94 Li.upf
Ir 192.22 Ir.upf
Cl 35.45 Cl.upf
ATOMIC_POSITIONS angstrom
Li -0.0711 -3.7527 0.2679
Ir -2.3428 -1.5810 0.6172
Ir -0.0145 -0.7643 0.0546
Cl -2.3934 -4.2501 0.8077
CELL_PARAMETERS angstrom
-1.2192 0.2082 2.5934
-3.4035 -0.0494 -1.5961
-0.1327 -7.0045 0.5000

## b
! LiIr2Cl (PBE, optimized geometry); values from VASP
! Total magnetic moment   0.51 μB per formula unit
! Space group   R3m (160)
&SYSTEM
  ibrav = 0, nat = 4, ntyp = 3
/
ATOMIC_SPECIES
Li 6.94 Li.upf
Ir 192.22 Ir.upf
Cl 35.45 Cl.upf
ATOMIC_POSITIONS angstrom
Li 11.9628 2.0953 1.2345
Ir 6.1093 1.0701 0.6304
Cl 18.4526 3.2321 1.9042
Ir 24.3186 4.2595 2.5095
CELL_PARAMETERS angstrom
8.4447 0.0127 0.0075
7.9463 2.8583 0.0075
7.9463 1.3918 2.4965

## c
! LiIr2Cl (PBE, optimized geometry); values from VASP
! Total magnetic moment   1.70 μB per formula unit
! Space group   I-4m2 (119)
&SYSTEM
  ibrav = 0, nat = 4, ntyp = 3
/
ATOMIC_SPECIES
Ir 192.22 Ir.upf
Li 6.94 Li.upf
Cl 35.45 Cl.upf
ATOMIC_POSITIONS angstrom
Ir 0.0000 0.0000 0.0000
Li -1.4807 0.7682 -2.6386
Ir -1.0312 -1.7637 -1.7813
Cl -2.6695 0.4108 -0.2289
CELL_PARAMETERS angstrom
-3.1190 2.9426 -1.0861
0.1575 -1.4063 -4.1910
-0.7392 -2.8893 3.2669

Which is most stable, and by how much? a, by 11.5 kJ/mol of atoms.